(1)
Material: TlAgPt2
Method: DFT, GGA-PBEsol
State: optimized geometry

Space-group type   R-3m
Size of the total moment   0.0 μB/f.u.
Total energy   -19.15 eV for the cell shown

Cell lengths 9.0697, 9.0697, 9.0697 Å; angles 18.98, 18.98, 18.98 degrees
Fractional positions:
Tl (0.0000, 0.0000, 0.0000)
Ag (0.5000, 0.5000, 0.5000)
Pt (0.2485, 0.2485, 0.2485)
Pt (0.7515, 0.7515, 0.7515)

***

(2)
Material: TlAg2Pt
Method: DFT, GGA-PBEsol
State: optimized geometry

Space-group type   P4/mmm
E above lowest polymorph   0.00 kcal/mol of atoms
Size of the total moment   0.0 μB/f.u.
Total energy   -16.11 eV for the cell shown

Cell lengths 4.0216, 4.0216, 4.3124 Å; angles 90.00, 90.00, 90.00 degrees
Fractional positions:
Tl (0.0000, 0.0000, 0.0000)
Ag (0.0000, 0.5000, 0.5000)
Ag (0.5000, 0.0000, 0.5000)
Pt (0.5000, 0.5000, 0.0000)

***

(3)
Material: TlAg2Pt
Method: DFT, GGA-PBEsol
State: optimized geometry

Space-group type   Cmmm
E above lowest polymorph   1.31 kcal/mol of atoms
Size of the total moment   0.0 μB/f.u.
Total energy   -15.88 eV for the cell shown

Cell lengths 5.0051, 5.0051, 3.0384 Å; angles 90.00, 90.00, 111.82 degrees
Fractional positions:
Tl (0.0000, 0.0000, 0.0000)
Ag (0.0000, 0.5000, 0.5000)
Ag (0.5000, 0.0000, 0.5000)
Pt (0.5000, 0.5000, 0.0000)

***

(4)
Material: TlAgPt2
Method: DFT, GGA-PBEsol
State: optimized geometry

Space-group type   P4/mmm
Size of the total moment   0.0 μB/f.u.
Total energy   -20.00 eV for the cell shown

Cell lengths 4.1190, 4.1190, 3.9607 Å; angles 90.00, 90.00, 90.00 degrees
Fractional positions:
Tl (0.0000, 0.0000, 0.0000)
Ag (0.5000, 0.5000, 0.0000)
Pt (0.0000, 0.5000, 0.5000)
Pt (0.5000, 0.0000, 0.5000)

***

(5)
Material: TlAgPt2
Method: DFT, GGA-PBEsol
State: optimized geometry

Space-group type   I4/mmm
Size of the total moment   0.0 μB/f.u.
Total energy   -19.96 eV for the cell shown

Cell lengths 4.8875, 4.8875, 4.8875 Å; angles 129.91, 129.91, 73.56 degrees
Fractional positions:
Tl (0.0000, 0.0000, 0.0000)
Ag (0.5000, 0.5000, 0.0000)
Pt (0.2500, 0.7500, 0.5000)
Pt (0.7500, 0.2500, 0.5000)

***

(6)
Material: TlAgPt
Method: DFT, GGA-PBEsol
State: optimized geometry

Space-group type   P3m1
E above lowest polymorph   0.00 kcal/mol of atoms
Size of the total moment   0.0 μB/f.u.
Total energy   -12.64 eV for the cell shown

Cell lengths 4.6103, 4.6103, 2.9431 Å; angles 90.00, 90.00, 120.00 degrees
Fractional positions:
Tl (0.0000, 0.0000, 0.0000)
Ag (0.3333, 0.6667, 0.6301)
Pt (0.6667, 0.3333, 0.2241)

***

(7)
Material: TlAgPt2
Method: DFT, GGA-PBEsol
State: optimized geometry

Space-group type   P4mm
Size of the total moment   0.0 μB/f.u.
Total energy   -19.27 eV for the cell shown

Cell lengths 2.9168, 2.9168, 8.1586 Å; angles 90.00, 90.00, 90.00 degrees
Fractional positions:
Tl (0.0000, 0.0000, 0.0000)
Ag (0.5000, 0.5000, 0.2844)
Pt (0.0000, 0.0000, 0.5178)
Pt (0.5000, 0.5000, 0.7452)

***

(8)
Material: Y2TlAgPt
Method: DFT, GGA-PBEsol
State: optimized geometry

Space-group type   P4/mmm
Size of the total moment   0.0 μB/f.u.
Total energy   -25.49 eV for the cell shown

Cell lengths 5.2894, 5.2894, 4.8831 Å; angles 90.00, 90.00, 90.00 degrees
Fractional positions:
Y (0.0000, 0.5000, 0.0000)
Y (0.5000, 0.0000, 0.0000)
Tl (0.0000, 0.0000, 0.5000)
Ag (0.5000, 0.5000, 0.0000)
Pt (0.5000, 0.5000, 0.5000)

***

no.,ΔE_f (eV per atom),density of states at the Fermi level (states/eV per cell)
1,0.180,3.3
2,0.027,1.5
3,0.084,1.3
4,-0.033,1.1
5,-0.022,1.2
6,0.088,0.9
7,0.149,2.6
8,0.211,4.3